Entry 1:
An optimized crystal structure of K3Ba2PaS6. Source: the Alexandria database, functional GGA-PBE.

CIF file:
```
data_K3Ba2PaS6
_space_group_name_H-M_alt 'P 1'
_space_group_IT_number 1
_cell_length_a 7.6954
_cell_length_b 7.6954
_cell_length_c 7.7820
_cell_angle_alpha 99.64
_cell_angle_beta 99.64
_cell_angle_gamma 119.99
loop_
_space_group_symop_operation_xyz
'x,y,z'
loop_
_atom_site_label
_atom_site_fract_x
_atom_site_fract_y
_atom_site_fract_z
_atom_site_occupancy
Ba1 0.3331 0.6669 0.0000 1
Ba2 0.6669 0.3331 0.0000 1
S1 0.7828 0.7828 0.2064 1
S2 0.9294 0.6418 0.7885 1
S3 0.0706 0.3582 0.2115 1
S4 0.2172 0.2172 0.7936 1
S5 0.6418 0.9294 0.7885 1
S6 0.3582 0.0706 0.2115 1
K1 0.5000 0.5000 0.5000 1
K2 0.8349 0.1651 0.5000 1
K3 0.1651 0.8349 0.5000 1
Pa1 0.0000 0.0000 0.0000 1
```

Results
- Density: 3.60 g/cm³
- Size of the total moment: 0.000 μB per formula unit
- E_form (uncorrected): -1.724 eV/atom

Entry 2:
An optimized crystal structure of BeTlReCl2. Source: the Alexandria database, functional GGA-PBE.

CIF file:
```
data_BeTlReCl2
_space_group_name_H-M_alt 'P 1'
_space_group_IT_number 1
_cell_length_a 4.8984
_cell_length_b 4.8984
_cell_length_c 4.6323
_cell_angle_alpha 90.00
_cell_angle_beta 90.00
_cell_angle_gamma 90.00
loop_
_space_group_symop_operation_xyz
'x,y,z'
loop_
_atom_site_label
_atom_site_fract_x
_atom_site_fract_y
_atom_site_fract_z
_atom_site_occupancy
Be1 0.0000 0.0000 0.5000 1
Cl1 0.5000 0.0000 0.0000 1
Cl2 0.0000 0.5000 0.0000 1
Re1 0.0000 0.0000 0.0000 1
Tl1 0.5000 0.5000 0.5000 1
```

Results
- Density: 7.03 g/cm³
- Size of the total moment: 1.639 μB per formula unit
- E_form (uncorrected): 0.475 eV/atom

Entry 3:
An optimized crystal structure of BeW2Cl. Source: the Alexandria database, functional GGA-PBE.

CIF file:
```
data_BeW2Cl
_space_group_name_H-M_alt 'P 1'
_space_group_IT_number 1
_cell_length_a 3.9479
_cell_length_b 3.1939
_cell_length_c 6.0475
_cell_angle_alpha 97.90
_cell_angle_beta 90.00
_cell_angle_gamma 90.00
loop_
_space_group_symop_operation_xyz
'x,y,z'
loop_
_atom_site_label
_atom_site_fract_x
_atom_site_fract_y
_atom_site_fract_z
_atom_site_occupancy
W1 0.0000 0.9502 0.0982 1
W2 0.0000 0.5498 0.4018 1
Be1 0.5000 0.2500 0.2500 1
Cl1 0.5000 0.7500 0.7500 1
```

Results
- Density: 9.06 g/cm³
- Size of the total moment: 0.000 μB per formula unit
- E_form (uncorrected): 0.741 eV/atom
- Offset from the most stable computed form: 1.71 eV/f.u.

Entry 4:
An optimized crystal structure of Nd2GaSi2Ru5. Source: the Alexandria database, functional GGA-PBE.

CIF file:
```
data_Nd2GaSi2Ru5
_space_group_name_H-M_alt 'P 1'
_space_group_IT_number 1
_cell_length_a 3.2642
_cell_length_b 10.1261
_cell_length_c 10.1261
_cell_angle_alpha 90.00
_cell_angle_beta 90.00
_cell_angle_gamma 90.00
loop_
_space_group_symop_operation_xyz
'x,y,z'
loop_
_atom_site_label
_atom_site_fract_x
_atom_site_fract_y
_atom_site_fract_z
_atom_site_occupancy
Ru1 0.5000 0.5658 0.7091 1
Ru2 0.5000 0.9342 0.2091 1
Ru3 0.5000 0.0658 0.7909 1
Ru4 0.5000 0.5000 0.0000 1
Ru5 0.5000 0.7909 0.9342 1
Ru6 0.5000 0.2909 0.5658 1
Ru7 0.5000 0.0000 0.5000 1
Ru8 0.5000 0.2091 0.0658 1
Ru9 0.5000 0.7091 0.4342 1
Ru10 0.5000 0.4342 0.2909 1
Si1 0.0000 0.3732 0.1268 1
Si2 0.0000 0.8732 0.3732 1
Si3 0.0000 0.6268 0.8732 1
Si4 0.0000 0.1268 0.6268 1
Ga1 0.0000 0.0000 0.0000 1
Ga2 0.0000 0.5000 0.5000 1
Nd1 0.0000 0.6739 0.1739 1
Nd2 0.0000 0.8261 0.6739 1
Nd3 0.0000 0.3261 0.8261 1
Nd4 0.0000 0.1739 0.3261 1
```

Results
- Density: 9.13 g/cm³
- Size of the total moment: 0.000 μB per formula unit
- E_form (uncorrected): -0.502 eV/atom

Entry 5:
An optimized crystal structure of AcTa2Se8. Source: the Alexandria database, functional GGA-PBE.

CIF file:
```
data_AcTa2Se8
_space_group_name_H-M_alt 'P 1'
_space_group_IT_number 1
_cell_length_a 4.9585
_cell_length_b 7.5453
_cell_length_c 7.5453
_cell_angle_alpha 114.54
_cell_angle_beta 93.70
_cell_angle_gamma 93.70
loop_
_space_group_symop_operation_xyz
'x,y,z'
loop_
_atom_site_label
_atom_site_fract_x
_atom_site_fract_y
_atom_site_fract_z
_atom_site_occupancy
Se1 0.5000 0.7502 0.2498 1
Se2 0.6922 0.4206 0.4206 1
Se3 0.9632 0.6769 0.9446 1
Se4 0.9632 0.9446 0.6769 1
Se5 0.5000 0.2498 0.7502 1
Se6 0.0368 0.0554 0.3231 1
Se7 0.0368 0.3231 0.0554 1
Se8 0.3078 0.5794 0.5794 1
Ac1 0.5000 0.0000 0.0000 1
Ta1 0.0000 0.3171 0.6829 1
Ta2 0.0000 0.6829 0.3171 1
```

Results
- Density: 7.95 g/cm³
- Size of the total moment: 0.000 μB per formula unit
- E_form (uncorrected): -0.784 eV/atom

Entry 6:
An optimized crystal structure of NdY3Ir4. Source: the Alexandria database, functional GGA-PBE.

CIF file:
```
data_NdY3Ir4
_space_group_name_H-M_alt 'P 1'
_space_group_IT_number 1
_cell_length_a 4.9850
_cell_length_b 6.6877
_cell_length_c 9.9706
_cell_angle_alpha 90.00
_cell_angle_beta 90.00
_cell_angle_gamma 90.00
loop_
_space_group_symop_operation_xyz
'x,y,z'
loop_
_atom_site_label
_atom_site_fract_x
_atom_site_fract_y
_atom_site_fract_z
_atom_site_occupancy
Y1 0.0000 0.0000 0.5000 1
Y2 0.5000 0.0000 0.2500 1
Y3 0.4999 0.5000 0.2500 1
Y4 0.0000 0.0000 0.0000 1
Y5 0.5001 0.5000 0.7500 1
Y6 0.5000 0.0000 0.7500 1
Ir1 0.5000 0.7546 0.0000 1
Ir2 0.5000 0.2454 0.5000 1
Ir3 0.0000 0.2455 0.2500 1
Ir4 0.0000 0.7545 0.2500 1
Ir5 0.5000 0.2454 0.0000 1
Ir6 0.0000 0.7545 0.7500 1
Ir7 0.5000 0.7546 0.5000 1
Ir8 0.0000 0.2455 0.7500 1
Nd1 0.0000 0.5000 0.5000 1
Nd2 0.0000 0.5000 0.0000 1
```

Results
- Density: 11.79 g/cm³
- Size of the total moment: 0.000 μB per formula unit
- Formation enthalpy at 0 K: -0.708 eV per atom